Compound: LiPtBr2
Source: the Alexandria database
Functional: PBEsol
Structure: relaxed

Cell lengths 4.7757, 4.7757, 4.7757 Å; angles 60.00, 60.00, 60.00 degrees
With the nearest neighbours (Å) after each atom.
Fractional coordinates of all 4 atoms:
Li (0.0000, 0.0000, 0.0000)  4 Br 2.92, 4 Pt 2.92
Pt (0.7500, 0.7500, 0.7500)  4 Br 2.92, 4 Li 2.92
Br (0.2500, 0.2500, 0.2500)  4 Br 2.92, 4 Li 2.92
Br (0.5000, 0.5000, 0.5000)  4 Pt 2.92, 4 Br 2.92

Compound: LiYPtBr2
Source: the Alexandria database
Functional: PBEsol
Structure: relaxed

Cell lengths 4.4048, 4.4048, 6.0175 Å; angles 90.00, 90.00, 90.00 degrees
With the nearest neighbours (Å) after each atom.
Fractional coordinates of all 5 atoms:
Li (0.0000, 0.0000, 0.0000)  4 Br 2.20
Y (0.0000, 0.0000, 0.5000)  2 Li 3.01, 4 Pt 3.11
Pt (0.5000, 0.5000, 0.5000)  4 Y 3.11
Br (0.0000, 0.5000, 0.0000)  2 Li 2.20
Br (0.5000, 0.0000, 0.0000)  2 Li 2.20

In order of appearance, energy = -2.870 -4.099 eV per atom.
In order of appearance, magnetization = 0.0 0.0 μB per formula unit.
In order of appearance, DOS at the Fermi energy = 6.1 2.6 states/eV/f.u..